## Ag5Os (PBE-GGA)

Data for crystalline Ag5Os at its relaxed geometry.

Calculated values
Polymorph energy (0 for the lowest one)   3 meV/atom
DFT formation energy   0.4041 eV per atom
Total DFT energy (no corrections)   -3.84 eV/atom
Volume   17.055 Å³ per atom
Symmetry   Cm

Structure (POSCAR):
```
Ag5Os
1.0
5.487 -1.367 0.000
5.487 1.367 0.000
-1.785 0.000 6.824
Ag Os
5 1
Cartesian
0.000 0.000 0.000
-0.434 0.000 4.197
2.486 0.000 4.502
6.790 0.000 2.228
6.323 0.000 6.521
3.859 0.000 1.956
```